Compound: Pa2TiAu
Source: the Alexandria database
Functional: PBE
Structure: relaxed

a b c (Å): 3.0509 3.0509 9.3626
angles (deg): 90.00 90.00 90.00
Closest atoms and distances in Å follow each position.
Element x y z (fractional)
Pa (0.0000, 0.0000, 0.7538)  4 Pa 3.05, 4 Ti 3.16, 4 Au 3.21
Pa (0.0000, 0.0000, 0.2462)  4 Pa 3.05, 4 Ti 3.16, 4 Au 3.21
Au (0.5000, 0.5000, 0.5000)  4 Au 3.05, 8 Pa 3.21
Ti (0.5000, 0.5000, 0.0000)  4 Ti 3.05, 8 Pa 3.16

Magnetic moment = 0.000 Bohr magnetons per cell
Energy above the most stable polymorph in this dataset = 8 meV per atom
Formation energy from the elements = -52 meV per atom
E_tot = -7.593 eV per atom